TbYSbTe: optimized geometry, PBE-GGA.

Cell: 4.2972 4.2972 22.6810 Å, 90.00 90.00 120.00°
Space group R3m (No. 160, hexagonal axes)
Asymmetric unit:
Tb 0.0000 0.0000 0.0000
Y 0.0000 0.0000 0.8217
Sb 0.0000 0.0000 0.4127
Te 0.0000 0.0000 0.2430

Results
total magnetization	0.0	μB/f.u.
volume	362.7	Å³/cell
density of states at the Fermi level	9.9	states/eV per cell
energy relative to the elements, uncorrected	-1235	meV per atom

ThBeAs: optimized geometry, PBE-GGA.

Cell: 7.111 4.123 9.092 Å, 90.00 101.82 90.00°
Space group C2/m (No. 12)
Asymmetric unit:
Th 0.056 0.000 0.213
Be 0.164 0.500 0.999
As 0.223 0.000 0.573

Results
total magnetization	0.0	μB/f.u.
formation enthalpy at 0 K	-0.22	eV per atom
volume	260.9	Å³/cell
density of states at the Fermi level	9.3	states/eV per cell

CaPrInRh: optimized geometry, PBE-GGA.

Cell: 7.372 7.372 7.372 Å, 90.00 90.00 90.00°
Space group F-43m (No. 216)
Asymmetric unit:
Ca 0.000 0.000 0.000
Pr 0.000 0.000 0.500
In 0.250 0.250 0.750
Rh 0.250 0.250 0.250

Results
total magnetization	0.0	μB/f.u.
formation enthalpy at 0 K	-0.40	eV per atom
volume	400.7	Å³/cell
density of states at the Fermi level	11.3	states/eV per cell

CeSiGe2: optimized geometry, PBE-GGA.

Cell: 4.267 4.267 4.289 Å, 90.00 90.00 90.00°
Space group P4/mmm (No. 123)
Asymmetric unit:
Ce 0.000 0.000 0.000
Si 0.500 0.500 0.000
Ge 0.000 0.500 0.500

Results
total magnetization	0.0	μB/f.u.
ΔE to the lowest computed polymorph	0	meV/atom
volume	78.1	Å³/cell
density of states at the Fermi level	3.7	states/eV per cell
energy relative to the elements, uncorrected	-444	meV per atom

Na4AgCl5: optimized geometry, PBE-GGA.

Cell: 4.020 5.663 20.027 Å, 90.00 90.00 90.00°
Space group Immm (No. 71)
Asymmetric unit:
Na 0.000 0.000 0.099
Na 0.000 0.000 0.300
Ag 0.000 0.000 0.500
Cl 0.000 0.500 0.099
Cl 0.000 0.500 0.300
Cl 0.000 0.500 0.500

Results
total magnetization	0.0	μB/f.u.
ΔE to the lowest computed polymorph	0	meV/atom
volume	456.0	Å³/cell
density of states at the Fermi level	0.0	states/eV per cell
energy relative to the elements, uncorrected	-1528	meV per atom

CaNd6Dy2Y: optimized geometry, PBE-GGA.

Cell: 9.212 15.576 9.903 Å, 90.00 98.53 90.00°
Space group C2/c (No. 15)
Asymmetric unit:
Ca 0.000 0.098 0.250
Nd 0.060 0.324 0.448
Nd 0.107 0.105 0.623
Nd 0.201 0.270 0.822
Dy 0.249 0.449 0.043
Y 0.000 0.474 0.750

Results
total magnetization	0.0	μB/f.u.
formation enthalpy at 0 K	0.13	eV per atom
volume	1405.2	Å³/cell
density of states at the Fermi level	60.4	states/eV per cell

PaAgTe6: optimized geometry, PBE-GGA.

Cell: 7.766 8.624 7.766 Å, 90.00 98.86 90.00°
Space group C2/m (No. 12)
Asymmetric unit:
Pa 0.000 0.000 0.000
Ag 0.000 0.500 0.500
Te 0.158 0.322 0.803
Te 0.175 0.000 0.681

Results
total magnetization	0.0	μB/f.u.
volume	513.9	Å³/cell
density of states at the Fermi level	5.8	states/eV per cell
energy relative to the elements, uncorrected	-261	meV per atom

Ac3Pr3TlIn2: optimized geometry, PBE-GGA.

Cell: 9.5997 9.5997 3.9805 Å, 90.00 90.00 120.00°
Space group P-62m (No. 189)
Asymmetric unit:
Ac 0.0000 0.7158 0.0000
Pr 0.0000 0.3915 0.5000
Tl 0.0000 0.0000 0.5000
In 0.3333 0.6667 0.0000

Results
total magnetization	0.0	μB/f.u.
formation enthalpy at 0 K	-0.25	eV per atom
volume	317.7	Å³/cell
density of states at the Fermi level	8.1	states/eV per cell

KNp2F8: optimized geometry, PBE-GGA.

Cell: 11.751 7.384 4.106 Å, 90.00 105.87 90.00°
Space group C2/m (No. 12)
Asymmetric unit:
K 0.000 0.000 0.000
Np 0.172 0.500 0.401
F 0.056 0.500 0.801
F 0.142 0.202 0.451
F 0.229 0.000 0.021

Results
total magnetization	7.0	μB/f.u.
ΔE to the lowest computed polymorph	46	meV/atom
volume	342.6	Å³/cell
density of states at the Fermi level	35.5	states/eV per cell
energy relative to the elements, uncorrected	-3379	meV per atom

Pm2Si2Rh3: optimized geometry, PBE-GGA.

Cell: 10.723 3.734 7.140 Å, 90.00 115.10 90.00°
Space group C2/m (No. 12)
Asymmetric unit:
Pm 0.129 0.000 0.270
Si 0.149 0.000 0.733
Rh 0.000 0.500 0.500
Rh 0.132 0.500 0.936

Results
total magnetization	0.0	μB/f.u.
volume	258.9	Å³/cell
density of states at the Fermi level	8.4	states/eV per cell
energy relative to the elements, uncorrected	-894	meV per atom

Fe4Tc: optimized geometry, PBE-GGA.

Cell: 5.420 5.420 5.420 Å, 90.00 90.00 90.00°
Space group Im-3m (No. 229)
Asymmetric unit:
Fe 0.250 0.250 0.250
Tc 0.000 0.000 0.000

Results
total magnetization	8.4	μB/f.u.
formation enthalpy at 0 K	1.14	eV per atom
ΔE to the lowest computed polymorph	1007	meV/atom
volume	159.2	Å³/cell
density of states at the Fermi level	10.2	states/eV per cell

Th2MgIn: optimized geometry, PBE-GGA.

Cell: 4.188 4.188 6.613 Å, 90.00 90.00 90.00°
Space group P4/mmm (No. 123)
Asymmetric unit:
Th 0.000 0.000 0.243
Mg 0.500 0.500 0.500
In 0.500 0.500 0.000

Results
total magnetization	0.0	μB/f.u.
formation enthalpy at 0 K	-0.06	eV per atom
volume	116.0	Å³/cell
density of states at the Fermi level	3.2	states/eV per cell

CaSc2ZnN: optimized geometry, PBE-GGA.

Cell: 4.410 4.410 4.906 Å, 90.00 90.00 90.00°
Space group P4/mmm (No. 123)
Asymmetric unit:
Ca 0.000 0.000 0.000
Sc 0.000 0.500 0.500
Zn 0.500 0.500 0.000
N 0.000 0.000 0.500

Results
total magnetization	0.0	μB/f.u.
volume	95.4	Å³/cell
density of states at the Fermi level	5.4	states/eV per cell
energy relative to the elements, uncorrected	-747	meV per atom

HfBeCo3: optimized geometry, PBE-GGA.

Cell: 4.471 4.471 4.471 Å, 90.00 90.00 90.00°
Space group Pm-3m (No. 221)
Asymmetric unit:
Hf 0.000 0.000 0.000
Be 0.500 0.500 0.500
Co 0.000 0.000 0.500

Results
total magnetization	1.6	μB/f.u.
formation enthalpy at 0 K	1.66	eV per atom
ΔE to the lowest computed polymorph	1948	meV/atom
volume	89.4	Å³/cell
density of states at the Fermi level	4.5	states/eV per cell

TaAgAu2: optimized geometry, PBE-GGA.

Cell: 6.803 7.532 2.821 Å, 90.00 90.00 90.00°
Space group Cmmm (No. 65)
Asymmetric unit:
Ta 0.000 0.000 0.000
Ag 0.000 0.500 0.000
Au 0.250 0.250 0.500

Results
total magnetization	0.0	μB/f.u.
formation enthalpy at 0 K	0.07	eV per atom
volume	144.5	Å³/cell
density of states at the Fermi level	5.1	states/eV per cell

LiAc2GaGe6: optimized geometry, PBE-GGA.

Cell: 6.5756 6.5756 36.7668 Å, 90.00 90.00 120.00°
Space group R-3m (No. 166, hexagonal axes)
Asymmetric unit:
Li 0.0000 0.0000 0.0000
Li 0.0000 0.0000 0.5000
Ac 0.0000 0.0000 0.1121
Ac 0.0000 0.0000 0.2903
Ga 0.0000 0.0000 0.4304
Ge 0.0619 0.5309 0.2955
Ge 0.0700 0.5350 0.8644

Results
total magnetization	0.0	μB/f.u.
formation enthalpy at 0 K	-0.35	eV per atom
volume	1376.8	Å³/cell
density of states at the Fermi level	19.8	states/eV per cell

CuGe2Au2: optimized geometry, PBE-GGA.

Cell: 6.686 6.686 4.065 Å, 90.00 90.00 90.00°
Space group P4/mbm (No. 127)
Asymmetric unit:
Cu 0.000 0.000 0.000
Ge 0.157 0.343 0.000
Au 0.155 0.655 0.500

Results
total magnetization	0.0	μB/f.u.
formation enthalpy at 0 K	0.20	eV per atom
ΔE to the lowest computed polymorph	19	meV/atom
volume	181.7	Å³/cell
density of states at the Fermi level	3.4	states/eV per cell

KZnNi2: optimized geometry, PBE-GGA.

Cell: 4.054 4.054 8.242 Å, 90.00 90.00 90.00°
Space group I-4m2 (No. 119)
Asymmetric unit:
K 0.000 0.000 0.000
Zn 0.000 0.500 0.250
Ni 0.000 0.000 0.500
Ni 0.000 0.500 0.750

Results
total magnetization	0.4	μB/f.u.
formation enthalpy at 0 K	0.80	eV per atom
ΔE to the lowest computed polymorph	493	meV/atom
volume	135.5	Å³/cell
density of states at the Fermi level	11.0	states/eV per cell

PuPaMnRe: optimized geometry, PBE-GGA.

Cell: 6.802 6.802 6.802 Å, 90.00 90.00 90.00°
Space group F-43m (No. 216)
Asymmetric unit:
Pu 0.000 0.000 0.000
Pa 0.000 0.000 0.500
Mn 0.250 0.250 0.250
Re 0.250 0.250 0.750

Results
total magnetization	2.6	μB/f.u.
formation enthalpy at 0 K	0.12	eV per atom
volume	314.7	Å³/cell
density of states at the Fermi level	23.0	states/eV per cell

Tb6BiC3: optimized geometry, PBE-GGA.

Cell: 10.639 3.654 11.915 Å, 90.00 101.67 90.00°
Space group P2_1/m (No. 11)
Asymmetric unit:
Tb 0.028 0.250 0.126
Tb 0.112 0.750 0.452
Tb 0.170 0.250 0.745
Tb 0.281 0.750 0.017
Tb 0.307 0.250 0.304
Tb 0.420 0.250 0.583
Bi 0.455 0.750 0.825
C 0.029 0.750 0.648
C 0.132 0.250 0.943
C 0.353 0.750 0.442

Results
total magnetization	0.0	μB/f.u.
formation enthalpy at 0 K	-0.33	eV per atom
volume	453.6	Å³/cell
density of states at the Fermi level	15.6	states/eV per cell